(1)
Entry from Alexandria: an optimized crystal structure of Nd3NpTe6 (PBE).

## Properties
**Formation energy from raw total energies**: -1.211 eV/atom
**Crystal system**: monoclinic

Cell and atoms, written as POSCAR:
```
Nd3NpTe6
1.0
12.7494 0.0000 0.0000
0.0000 4.4522 0.0000
-4.2929 0.0000 12.3387
Nd Np Te
6 2 12
Direct
0.0748 0.2500 0.1672
0.1816 0.7500 0.5032
0.3454 0.2500 0.9238
0.6546 0.7500 0.0762
0.8184 0.2500 0.4968
0.9252 0.7500 0.8328
0.4563 0.2500 0.3087
0.5437 0.7500 0.6913
0.0138 0.2500 0.3797
0.1035 0.2500 0.9338
0.2555 0.7500 0.2830
0.3120 0.7500 0.7502
0.3897 0.2500 0.5362
0.4166 0.7500 0.1072
0.5834 0.2500 0.8928
0.6103 0.7500 0.4638
0.6880 0.2500 0.2498
0.7445 0.2500 0.7170
0.8965 0.7500 0.0662
0.9862 0.7500 0.6203
```

(2)
Entry from Alexandria: an optimized crystal structure of Pm2Tl2Ge (PBE).

## Properties
**Energy of formation from the pure elements**: -108 meV per atom
**Crystal system**: tetragonal

Cell and atoms, written as POSCAR:
```
Pm2Tl2Ge
1.0
-2.0491 2.0491 8.8143
2.0491 -2.0491 8.8143
2.0491 2.0491 -8.8143
Pm Tl Ge
2 2 1
Direct
0.0873 0.0873 0.0000
0.9127 0.9127 0.0000
0.2500 0.7500 0.5000
0.7500 0.2500 0.5000
0.5000 0.5000 0.0000
```

(3)
Entry from Alexandria: an optimized crystal structure of MgGa2Cu2 (PBE).

## Properties
**Energy of formation from the pure elements**: -66 meV per atom
**Crystal system**: tetragonal
**ΔE to the lowest computed polymorph**: 0.016 eV/atom

Cell and atoms, written as POSCAR:
```
MgGa2Cu2
1.0
-1.9040 1.9040 11.3027
1.9040 -1.9040 11.3027
1.9040 1.9040 -11.3027
Mg Ga Cu
2 4 4
Direct
0.1248 0.1248 0.0000
0.8752 0.8752 0.0000
0.2500 0.7500 0.5000
0.4289 0.4289 0.0000
0.5711 0.5711 0.0000
0.7500 0.2500 0.5000
0.0000 0.5000 0.5000
0.3236 0.3236 0.0000
0.5000 0.0000 0.5000
0.6764 0.6764 0.0000
```

Number 1: Fermi-level density of states 14.7 states/eV per cell, mass density 6.806 g cm⁻³, magnetization 8.0 μB per cell. Number 2: Fermi-level density of states 5.1 states/eV per cell, mass density 8.653 g cm⁻³, magnetization 0.0 μB per cell. Number 3: Fermi-level density of states 4.2 states/eV per cell, mass density 5.893 g cm⁻³, magnetization 0.0 μB per cell.